(1)
Density functional theory data (PBE) for a relaxed structure of LaZnCr2.

Cell lengths 3.389, 3.390, 6.521 Å; angles 90.00, 90.00, 90.00 degrees
Element x y z (fractional)
Zn  0.500  0.500  0.750
Cr  0.000  0.000  0.897
Cr  0.000  0.000  0.603
La  0.500  0.500  0.250

Results
Its theoretical density is 6.8 Mg/m³. The calculation puts the calculated total energy at -5.9422 eV/atom.

(2)
Density functional theory data (PBE) for a relaxed structure of LaZn2Cr.

Cell lengths 4.925, 4.925, 4.925 Å; angles 122.72, 117.60, 89.78 degrees
Last column: magnetic moment on the atom in μB.
Element x y z (fractional)
Zn  0.973  0.973  0.000  0.00
Zn  0.755  0.255  0.500  0.00
La  0.249  0.749  0.500  -0.24
Cr  0.523  0.523  0.000  -3.83

Results
Its theoretical density is 6.4 Mg/m³. The calculation puts the calculated total energy at -4.1445 eV/atom.

(3)
Density functional theory data (PBE) for a relaxed structure of LaZn3Cr.

Cell lengths 5.629, 5.629, 5.629 Å; angles 90.00, 90.00, 90.00 degrees
Last column: magnetic moment on the atom in μB.
Element x y z (fractional)
Zn  0.000  0.000  0.500  0.00
Zn  0.000  0.500  0.000  -0.03
Zn  0.500  0.000  0.000  -0.11
Cr  0.500  0.500  0.500  4.28
La  0.000  0.000  0.000  -0.35

Results
As for the energy above the most stable polymorph in this dataset: 1136.5 meV per atom. Its theoretical density is 3.6 Mg/m³. The calculation puts the calculated total energy at -2.4073 eV/atom.

(4)
Density functional theory data (PBE) for a relaxed structure of La2ZnCr.

Cell lengths 8.384, 5.289, 3.785 Å; angles 90.01, 63.15, 129.13 degrees
Last column: magnetic moment on the atom in μB.
Element x y z (fractional)
Cr  0.500  0.500  0.000  -3.54
La  0.000  0.000  0.000  0.08
La  0.500  0.000  0.500  0.08
Zn  0.000  0.500  0.500  0.02

Results
Its theoretical density is 6.2 Mg/m³. The calculation puts the calculated total energy at -5.1161 eV/atom.

(5)
Density functional theory data (PBE) for a relaxed structure of LaZrZnCr2.

Cell lengths 4.666, 5.274, 4.666 Å; angles 90.00, 90.00, 90.00 degrees
Last column: magnetic moment on the atom in μB.
Element x y z (fractional)
Zn  0.000  0.500  0.000  -0.01
La  0.000  0.000  0.000  0.18
Zr  0.500  0.500  0.500  -0.29
Cr  0.000  0.000  0.500  2.26
Cr  0.500  0.000  0.000  2.69

Results
As for the energy above the most stable polymorph in this dataset: 0.0 meV per atom. Its theoretical density is 5.8 Mg/m³. The calculation puts the calculated total energy at -5.2875 eV/atom.

(6)
Density functional theory data (PBE) for a relaxed structure of LaZrZnCr2.

Cell lengths 4.565, 5.172, 4.565 Å; angles 90.00, 90.00, 90.00 degrees
Element x y z (fractional)
Cr  0.000  0.000  0.500
Cr  0.500  0.000  0.000
Zr  0.000  0.500  0.000
Zn  0.500  0.500  0.500
La  0.000  0.000  0.000

Results
As for the energy above the most stable polymorph in this dataset: 197.6 meV per atom. Its theoretical density is 6.2 Mg/m³. The calculation puts the calculated total energy at -5.0899 eV/atom.

(7)
Density functional theory data (PBE) for a relaxed structure of LaZrCr2.

Cell lengths 5.995, 5.995, 5.995 Å; angles 148.43, 132.74, 57.95 degrees
Last column: magnetic moment on the atom in μB.
Element x y z (fractional)
Zr  0.248  0.748  0.500  0.04
La  0.524  0.524  0.000  0.03
Cr  0.937  0.937  0.000  1.50
Cr  0.791  0.291  0.500  -1.34

Results
As for the energy above the most stable polymorph in this dataset: 121.6 meV per atom. Its theoretical density is 6.7 Mg/m³. The calculation puts the calculated total energy at -7.7547 eV/atom.

(8)
Density functional theory data (PBE) for a relaxed structure of LaZrCr2.

Cell lengths 9.415, 9.415, 9.415 Å; angles 19.96, 19.96, 19.96 degrees
Last column: magnetic moment on the atom in μB.
Element x y z (fractional)
Zr  0.250  0.250  0.250  -0.37
Cr  0.506  0.506  0.506  2.83
Cr  0.994  0.994  0.994  2.83
La  0.750  0.750  0.750  -0.19

Results
As for the energy above the most stable polymorph in this dataset: 378.9 meV per atom. Its theoretical density is 6.5 Mg/m³. The calculation puts the calculated total energy at -7.4974 eV/atom.

ΔH_f (0 K), respectively: 0.420; 0.130; 1.267; 0.072; 1.512; 1.709; 0.426; 0.683 eV per atom.